# 1
A relaxed structure of RbAg2P. Source: the Alexandria database, functional PBEsol.

POSCAR file:
```
RbAg2P
1.0
5.662 0.000 0.000
0.000 5.662 0.000
-2.831 -2.831 7.542
Ag P Rb
4 2 2
Direct
0.625 0.375 0.750
0.625 0.375 0.250
0.625 0.875 0.250
0.125 0.375 0.750
0.750 0.250 0.500
0.500 0.500 0.000
0.250 0.750 0.500
0.000 0.000 0.000
```

Properties
- space-group type = I4_1/amd
- energy of formation (eV per atom) = -0.109

# 2
A relaxed structure of RbAgPS2. Source: the Alexandria database, functional PBEsol.

POSCAR file:
```
RbAgPS2
1.0
4.683 0.000 0.000
0.000 5.024 0.000
0.000 0.000 5.024
P S Ag Rb
1 2 1 1
Direct
0.500 0.000 0.000
0.000 0.500 0.000
0.000 0.000 0.500
0.000 0.000 0.000
0.500 0.500 0.500
```

Properties
- formation energy (no corrections) (meV/atom) = 287.8
- space-group type = P4/mmm
- density of states at the Fermi level (states/eV per cell) = 3.98

# 3
A relaxed structure of Re2AgP. Source: the Alexandria database, functional PBEsol.

POSCAR file:
```
Re2AgP
1.0
-0.745 2.510 -0.798
-1.560 -1.191 1.908
5.227 3.630 6.540
Re P Ag
2 1 1
Direct
0.000 0.000 0.008
0.500 0.500 0.769
0.500 0.500 0.225
0.000 0.000 0.498
```

Properties
- space-group type = Cmm2
- density of states at the Fermi level (states/eV per cell) = 3.05
- energy of formation (eV per atom) = 0.436

# 4
A relaxed structure of Re2AgP. Source: the Alexandria database, functional PBEsol.

POSCAR file:
```
Re2AgP
1.0
2.773 0.003 0.000
-1.266 2.467 0.000
0.000 0.000 8.604
Re Ag P
2 1 1
Direct
0.000 0.000 0.786
0.000 0.000 0.214
0.500 0.500 0.500
0.500 0.500 0.000
```

Properties
- space-group type = Cmmm
- density of states at the Fermi level (states/eV per cell) = 2.22
- energy of formation (eV per atom) = 0.459

# 5
A relaxed structure of AgPRh. Source: the Alexandria database, functional PBEsol.

POSCAR file:
```
AgPRh
1.0
2.896 0.000 0.000
-1.448 2.508 0.000
0.000 0.000 6.206
P Ag Rh
1 1 1
Direct
0.333 0.667 0.627
0.000 0.000 0.999
0.667 0.333 0.374
```

Properties
- space-group type = P3m1
- density of states at the Fermi level (states/eV per cell) = 2.35
- energy of formation (eV per atom) = -0.103

# 6
A relaxed structure of AgP2Rh. Source: the Alexandria database, functional PBEsol.

POSCAR file:
```
AgP2Rh
1.0
-3.359 0.670 -1.428
0.794 -2.185 -2.892
-0.233 -2.492 4.200
Rh P Ag
1 2 1
Direct
0.500 0.500 0.000
0.750 0.250 0.500
0.000 0.000 0.000
0.250 0.750 0.500
```

Properties
- space-group type = I-4m2
- density of states at the Fermi level (states/eV per cell) = 1.85
- energy of formation (eV per atom) = 0.188

# 7
A relaxed structure of AgP4Rh. Source: the Alexandria database, functional PBEsol.

POSCAR file:
```
AgP4Rh
1.0
-2.742 3.519 -2.241
-4.650 -1.033 -1.493
-3.894 2.023 2.380
P Ag Rh
4 1 1
Direct
0.370 0.891 0.370
0.891 0.370 0.370
0.370 0.370 0.891
0.370 0.370 0.370
0.000 0.000 0.000
0.750 0.750 0.750
```

Properties
- space-group type = F-43m
- density of states at the Fermi level (states/eV per cell) = 3.09
- energy of formation (eV per atom) = 0.599

# 8
A relaxed structure of AgP2Rh. Source: the Alexandria database, functional PBEsol.

POSCAR file:
```
AgP2Rh
1.0
-0.776 0.606 -3.025
2.191 -3.415 -1.247
-3.485 -2.388 0.416
Ag Rh P
1 1 2
Direct
0.500 0.000 0.000
0.500 0.500 0.500
0.000 0.500 0.000
0.000 0.000 0.500
```

Properties
- space-group type = P4/mmm
- density of states at the Fermi level (states/eV per cell) = 2.43
- energy of formation (eV per atom) = 0.163

Number 1: E_tot -0.25494 Ry per atom. Number 2: E_tot -0.25662 Ry per atom. Number 3: E_tot -0.62513 Ry per atom. Number 4: E_tot -0.62345 Ry per atom. Number 5: E_tot -0.42999 Ry per atom. Number 6: E_tot -0.40943 Ry per atom. Number 7: E_tot -0.38001 Ry per atom. Number 8: E_tot -0.41123 Ry per atom.